Model A:
# BeCuSi

An optimized crystal structure of BeCuSi (PBE, the Open Quantum Materials Database).

Structure (POSCAR):
```
BeCuSi
1.0
-1.153 1.549 3.243
-2.516 -1.800 2.162
1.072 -1.499 3.293
Be Cu Si
1 1 1
Direct
0.250 0.250 0.250
0.000 0.000 0.000
0.750 0.750 0.750
```

Model B:
# BeCuSi

An optimized crystal structure of BeCuSi (PBE, the Open Quantum Materials Database).

Structure (POSCAR):
```
BeCuSi
1.0
0.000 2.632 2.632
2.632 0.000 2.632
2.632 2.632 0.000
Be Si Cu
1 1 1
Direct
0.000 0.000 0.000
0.750 0.750 0.750
0.250 0.250 0.250
```

Energy ordering: model A at the bottom, the next structure 10 meV per atom above.

Model A:
# CuAg4

An optimized crystal structure of CuAg4 (PBE, the Open Quantum Materials Database).

Structure (POSCAR):
```
CuAg4
1.0
-3.942 0.668 -2.982
-3.147 -4.834 0.205
-4.771 1.570 3.942
Ag Cu
8 2
Direct
0.497 0.255 0.007
0.898 0.354 0.215
0.313 0.940 0.400
0.503 0.745 0.993
0.687 0.060 0.600
0.912 0.840 0.206
0.088 0.160 0.794
0.102 0.646 0.785
0.301 0.451 0.404
0.699 0.549 0.596
```

Model B:
# CuAg4

An optimized crystal structure of CuAg4 (PBE, the Open Quantum Materials Database).

Structure (POSCAR):
```
CuAg4
1.0
4.974 0.000 0.000
0.000 2.901 0.000
-1.525 0.000 11.702
Cu Ag
2 8
Direct
0.900 0.000 0.197
0.100 0.000 0.803
0.198 0.500 0.608
0.703 0.000 0.600
0.802 0.500 0.392
0.297 0.000 0.400
0.000 0.500 0.000
0.397 0.500 0.198
0.603 0.500 0.802
0.500 0.000 0.000
```

Energy ordering: model A at the bottom, the next structure 6 meV per atom above.

Model A:
# CuAg4

An optimized crystal structure of CuAg4 (PBE, the Open Quantum Materials Database).

Structure (POSCAR):
```
CuAg4
1.0
-5.078 1.097 -3.819
1.693 -2.246 -2.896
-2.902 -5.259 2.382
Ag Cu
8 2
Direct
0.607 0.500 0.703
0.393 0.500 0.297
0.000 0.500 0.500
0.292 0.000 0.597
0.500 0.000 0.000
0.809 0.500 0.098
0.191 0.500 0.902
0.708 0.000 0.403
0.903 0.000 0.809
0.097 0.000 0.191
```

Model B:
# CuAg4

An optimized crystal structure of CuAg4 (PBE, the Open Quantum Materials Database).

Structure (POSCAR):
```
CuAg4
1.0
-0.755 6.961 0.670
-2.643 -0.174 -1.168
-3.001 -3.118 7.257
Ag Cu
8 2
Direct
0.500 0.500 0.000
0.390 0.000 0.700
0.088 0.500 0.822
0.610 0.000 0.300
0.000 0.000 0.500
0.700 0.500 0.613
0.912 0.500 0.178
0.300 0.500 0.387
0.209 0.000 0.101
0.791 0.000 0.899
```

Energy ordering: model B at the bottom, the next structure 7 meV per atom above.

Model A:
# PrZnInTe3

An optimized crystal structure of PrZnInTe3 (PBE, the Open Quantum Materials Database).

Structure (POSCAR):
```
PrZnInTe3
1.0
-6.923 3.513 -1.996
-7.383 -0.752 -3.029
-4.258 -2.186 10.921
In Pr Zn Te
2 2 2 6
Direct
0.758 0.758 0.250
0.242 0.242 0.750
0.000 0.000 0.000
0.000 0.000 0.500
0.533 0.533 0.750
0.467 0.467 0.250
0.361 0.361 0.071
0.639 0.639 0.571
0.924 0.924 0.750
0.076 0.076 0.250
0.361 0.361 0.429
0.639 0.639 0.929
```

Model B:
# PrZnInTe3

An optimized crystal structure of PrZnInTe3 (PBE, the Open Quantum Materials Database).

Structure (POSCAR):
```
PrZnInTe3
1.0
-4.618 0.403 -7.827
3.860 -1.113 -2.335
-4.125 -17.517 1.532
In Te Zn Pr
4 12 4 4
Direct
0.427 0.750 0.780
0.073 0.250 0.280
0.573 0.250 0.220
0.927 0.750 0.720
0.877 0.250 0.559
0.192 0.250 0.716
0.377 0.250 0.941
0.308 0.750 0.216
0.692 0.250 0.784
0.501 0.250 0.408
0.001 0.250 0.092
0.623 0.750 0.059
0.499 0.750 0.592
0.123 0.750 0.441
0.808 0.750 0.284
0.999 0.750 0.908
0.133 0.250 0.858
0.633 0.250 0.642
0.367 0.750 0.358
0.867 0.750 0.142
0.757 0.750 0.454
0.243 0.250 0.546
0.743 0.250 0.954
0.257 0.750 0.046
```

Energy ordering: model A at the bottom, the next structure 68 meV per atom above.